Tb2HoH: optimized geometry, GGA-PBE.

Calculated values
Its space-group type is No. 166. As for the polymorph energy (0 for the lowest one): 0 kJ/mol of formula units.

a b c (Å): 8.7280 8.7280 8.7280
angles (deg): 23.81 23.81 23.81
With the nearest neighbours (Å) after each atom.
Fractional positions:
Tb1 0.2211 0.2211 0.2211  3 H 2.50
Tb2 0.7789 0.7789 0.7789  3 H 2.50
Ho1 0.0000 0.0000 0.0000  6 Tb 3.53, 6 Ho 3.60
H1 0.5000 0.5000 0.5000  6 Tb 2.50